7
Lattice="4.436 0.000 0.000 0.000 4.478 0.000 0.000 -2.239 8.813" Properties=species:S:1:pos:R:3 comment="LaMg4Hg2, relaxed, DFT PBE" volume_a3_per_atom=25.01 e_above_lowest_polymorph_kj_per_mol_atoms=2.99 final_energy_ev_per_atom=-1.961 pbc="T T T"
La 0.000 0.000 0.000
Mg 2.218 2.239 5.594
Mg 0.000 2.239 3.260
Mg 2.218 0.000 3.219
Mg 0.000 0.000 5.553
Hg 2.218 2.239 1.444
Hg 2.218 0.000 7.369